VASP calculation (PBE) on a geometry-optimized HfTiPtW structure.

Results
E_tot	-0.71315	Ry/atom
volume	67.66	Å³ per cell
energy relative to the elements	-0.49	eV/atom
density	14854	kg/m³

Lattice parameters (Å, degrees): 4.5739 4.5739 4.5739 60.00 60.00 60.00
Element x y z (fractional)
Hf (0.7500, 0.7500, 0.7500)
Ti (0.2500, 0.2500, 0.2500)
W (0.5000, 0.5000, 0.5000)
Pt (0.0000, 0.0000, 0.0000)

=====

VASP calculation (PBE) on a geometry-optimized HgPd12Pb6 structure.

Results
E_tot	-0.34128	Ry/atom
volume	374.33	Å³ per cell
energy relative to the elements	-0.18	eV/atom
density	12070	kg/m³

Lattice parameters (Å, degrees): 7.6680 7.6680 7.6680 107.11 107.11 107.11
Element x y z (fractional)
Pb (0.5189, 0.7817, 0.9086)
Pb (0.0914, 0.4811, 0.2183)
Pb (0.4811, 0.2183, 0.0914)
Pb (0.2183, 0.0914, 0.4811)
Pd (0.2652, 0.8334, 0.1242)
Pd (0.4067, 0.8220, 0.5285)
Pd (0.5933, 0.1780, 0.4715)
Pd (0.1242, 0.2652, 0.8334)
Pd (0.8758, 0.7348, 0.1666)
Pd (0.4715, 0.5933, 0.1780)
Pb (0.7817, 0.9086, 0.5189)
Pd (0.8334, 0.1242, 0.2652)
Pd (0.7348, 0.1666, 0.8758)
Pd (0.1666, 0.8758, 0.7348)
Pd (0.8220, 0.5285, 0.4067)
Pd (0.5285, 0.4067, 0.8220)
Pb (0.9086, 0.5189, 0.7817)
Hg (0.0000, 0.0000, 0.0000)
Pd (0.1780, 0.4715, 0.5933)

=====

VASP calculation (PBE) on a geometry-optimized La2CoPN structure.

Results
formation energy (no corrections)	-0.9990	eV/atom
E_tot	-0.52465	Ry/atom
volume	97.74	Å³ per cell
density	6485	kg/m³

Lattice parameters (Å, degrees): 5.1982 5.1982 3.6172 90.00 90.00 90.00
Element x y z (fractional)
N (0.0000, 0.0000, 0.0000)
La (0.5000, 0.0000, 0.0000)
La (0.0000, 0.5000, 0.0000)
P (0.5000, 0.5000, 0.5000)
Co (0.0000, 0.0000, 0.5000)